No. 1
Crystalline Nb2ReCN at its relaxed geometry, computed with PBE.

It has space group P4/mmm (No. 123), with a = 4.349 Å, b = 4.349 Å, c = 3.843 Å, α = 90.00°, β = 90.00° and γ = 90.00°. Symmetry generates all atoms from Nb at (0.000, 0.500, 0.000), Re at (0.000, 0.000, 0.500), C at (0.000, 0.000, 0.000) and N at (0.500, 0.500, 0.500).

As for the total moment: 0.000 μB per formula unit. The uncorrected formation energy comes out at 0.934 eV/atom.

No. 2
Crystalline TaNbCN at its relaxed geometry, computed with PBE.

It has space group Cm (No. 8), with a = 5.354 Å, b = 3.087 Å, c = 5.754 Å, α = 90.00°, β = 108.19° and γ = 90.00°. Symmetry generates all atoms from Ta at (0.000, 0.000, 0.000), Nb at (0.322, 0.500, 0.467), C at (0.411, 0.000, 0.233) and N at (0.084, 0.500, 0.753).

As for the total moment: 0.000 μB per formula unit. The uncorrected formation energy comes out at -0.765 eV/atom. As for the offset from the most stable computed form: 0.000 eV per formula unit.

No. 3
Crystalline TaNbCN at its relaxed geometry, computed with PBE.

It has space group R3m (No. 160, hexagonal axes), with a = 3.1582 Å, b = 3.1582 Å, c = 15.6325 Å, α = 90.00°, β = 90.00° and γ = 120.00°. Symmetry generates all atoms from Ta at (0.0000, 0.0000, 0.0000), Nb at (0.0000, 0.0000, 0.4870), C at (0.0000, 0.0000, 0.7421) and N at (0.0000, 0.0000, 0.2489).

As for the total moment: 0.000 μB per formula unit. The uncorrected formation energy comes out at -0.762 eV/atom. As for the offset from the most stable computed form: 0.008 eV per formula unit.

No. 4
Crystalline NbTe2CN at its relaxed geometry, computed with PBE.

It has space group P4/mmm (No. 123), with a = 6.083 Å, b = 6.083 Å, c = 2.633 Å, α = 90.00°, β = 90.00° and γ = 90.00°. Symmetry generates all atoms from Nb at (0.000, 0.000, 0.000), Te at (0.000, 0.500, 0.500), C at (0.500, 0.500, 0.500) and N at (0.500, 0.500, 0.000).

As for the total moment: 0.001 μB per formula unit. The uncorrected formation energy comes out at 1.159 eV/atom. As for the offset from the most stable computed form: 0.000 eV per formula unit.

No. 5
Crystalline NbTeCN2 at its relaxed geometry, computed with PBE.

It has space group P4/mmm (No. 123), with a = 3.914 Å, b = 3.914 Å, c = 4.165 Å, α = 90.00°, β = 90.00° and γ = 90.00°. Symmetry generates all atoms from Nb at (0.000, 0.000, 0.000), Te at (0.500, 0.500, 0.000), C at (0.500, 0.500, 0.500) and N at (0.000, 0.500, 0.500).

As for the total moment: 0.000 μB per formula unit. The uncorrected formation energy comes out at 2.148 eV/atom. As for the offset from the most stable computed form: 3.339 eV per formula unit.

No. 6
Crystalline NbTe2CN at its relaxed geometry, computed with PBE.

It has space group P4/mmm (No. 123), with a = 5.496 Å, b = 5.496 Å, c = 3.897 Å, α = 90.00°, β = 90.00° and γ = 90.00°. Symmetry generates all atoms from Nb at (0.000, 0.000, 0.000), Te at (0.000, 0.500, 0.000), C at (0.500, 0.500, 0.500) and N at (0.000, 0.000, 0.500).

As for the total moment: 0.702 μB per formula unit. The uncorrected formation energy comes out at 1.446 eV/atom. As for the offset from the most stable computed form: 1.434 eV per formula unit.

No. 7
Crystalline NbTeCN2 at its relaxed geometry, computed with PBE.

It has space group P4/mmm (No. 123), with a = 3.906 Å, b = 3.906 Å, c = 6.081 Å, α = 90.00°, β = 90.00° and γ = 90.00°. Symmetry generates all atoms from Nb at (0.000, 0.000, 0.000), Te at (0.000, 0.000, 0.500), C at (0.500, 0.500, 0.500) and N at (0.000, 0.500, 0.000).

As for the total moment: 1.684 μB per formula unit. The uncorrected formation energy comes out at 1.480 eV/atom. As for the offset from the most stable computed form: 0.000 eV per formula unit.

No. 8
Crystalline NbVCN at its relaxed geometry, computed with PBE.

It has space group P4/mmm (No. 123), with a = 3.095 Å, b = 3.095 Å, c = 4.297 Å, α = 90.00°, β = 90.00° and γ = 90.00°. Symmetry generates all atoms from Nb at (0.000, 0.000, 0.000), V at (0.500, 0.500, 0.500), C at (0.500, 0.500, 0.000) and N at (0.000, 0.000, 0.500).

As for the total moment: 0.804 μB per formula unit. The uncorrected formation energy comes out at -0.632 eV/atom. As for the offset from the most stable computed form: 0.201 eV per formula unit.

No. 9
Crystalline NbVCN at its relaxed geometry, computed with PBE.

It has space group R3m (No. 160, hexagonal axes), with a = 3.0660 Å, b = 3.0660 Å, c = 15.0287 Å, α = 90.00°, β = 90.00° and γ = 120.00°. Symmetry generates all atoms from Nb at (0.0000, 0.0000, 0.0000), V at (0.0000, 0.0000, 0.5129), C at (0.0000, 0.0000, 0.2472) and N at (0.0000, 0.0000, 0.7576).

As for the total moment: 0.000 μB per formula unit. The uncorrected formation energy comes out at -0.682 eV/atom. As for the offset from the most stable computed form: 0.000 eV per formula unit.

No. 10
Crystalline YNbC2N at its relaxed geometry, computed with PBE.

It has space group P4/mmm (No. 123), with a = 4.040 Å, b = 4.040 Å, c = 4.091 Å, α = 90.00°, β = 90.00° and γ = 90.00°. Symmetry generates all atoms from Y at (0.000, 0.000, 0.000), Nb at (0.500, 0.500, 0.000), C at (0.000, 0.500, 0.500) and N at (0.000, 0.000, 0.500).

As for the total moment: 0.002 μB per formula unit. The uncorrected formation energy comes out at 2.067 eV/atom.

No. 11
Crystalline ZrNb4CN4 at its relaxed geometry, computed with PBE.

It has space group R3m (No. 160, hexagonal axes), with a = 3.1708 Å, b = 3.1708 Å, c = 39.2212 Å, α = 90.00°, β = 90.00° and γ = 120.00°. Symmetry generates all atoms from Zr at (0.0000, 0.0000, 0.0000), Nb at (0.0000, 0.0000, 0.1993), Nb at (0.0000, 0.0000, 0.4002), Nb at (0.0000, 0.0000, 0.5976), Nb at (0.0000, 0.0000, 0.8001), C at (0.0000, 0.0000, 0.7016), N at (0.0000, 0.0000, 0.1014), N at (0.0000, 0.0000, 0.2973), N at (0.0000, 0.0000, 0.5000) and N at (0.0000, 0.0000, 0.8984).

As for the total moment: 0.000 μB per formula unit. The uncorrected formation energy comes out at -0.940 eV/atom.

No. 12
Crystalline Nd2CN4 at its relaxed geometry, computed with PBE.

It has space group P2_1/m (No. 11), with a = 5.554 Å, b = 5.399 Å, c = 6.340 Å, α = 90.00°, β = 114.44° and γ = 90.00°. Symmetry generates all atoms from Nd at (0.198, 0.250, 0.028), Nd at (0.201, 0.750, 0.618), C at (0.481, 0.750, 0.280), N at (0.238, 0.250, 0.675), N at (0.289, 0.750, 0.028) and N at (0.412, 0.519, 0.378).

As for the total moment: 0.000 μB per formula unit. The uncorrected formation energy comes out at -0.534 eV/atom.